# 1
CaTaAs2H | PBE-GGA | relaxed

Total moment in μB/atom: 0.36
D(E_F) in states/eV/f.u.: 5.84
Crystal system: tetragonal
Total DFT energy (no corrections) in eV/f.u.: -16.33
Calculated volume in Å³/cell: 155.2

Cell: 5.280 5.280 5.568 Å, 90.00 90.00 90.00°
Fractional coordinates of all 5 atoms:
Ca: 0.000 0.000 0.000
Ta: 0.000 0.000 0.500
As: 0.000 0.500 0.000
As: 0.500 0.000 0.000
H: 0.500 0.500 0.500

# 2
CaZnAsH2 | PBE-GGA | relaxed

Total moment in μB/atom: 0.00
D(E_F) in states/eV/f.u.: 0.94
Crystal system: orthorhombic
Total DFT energy (no corrections) in eV/f.u.: -16.28
Calculated volume in Å³/cell: 138.2

Cell: 5.662 5.662 6.312 Å, 90.00 90.00 136.92°
Fractional coordinates of all 10 atoms:
Ca: 0.221 0.779 0.750
Ca: 0.779 0.221 0.250
Zn: 0.500 0.500 0.000
Zn: 0.500 0.500 0.500
As: 0.058 0.942 0.250
As: 0.942 0.058 0.750
H: 0.336 0.664 0.062
H: 0.336 0.664 0.438
H: 0.664 0.336 0.562
H: 0.664 0.336 0.938

# 3
CaZnAsH | PBE-GGA | relaxed

Total moment in μB/atom: 0.00
Crystal system: trigonal
Total DFT energy (no corrections) in eV/f.u.: -13.98
Calculated volume in Å³/cell: 145.1

Cell: 10.010 10.010 10.010 Å, 23.94 23.94 23.94°
Fractional coordinates of all 8 atoms:
Ca: 0.000 0.000 0.000
Ca: 0.500 0.500 0.500
Zn: 0.245 0.245 0.245
Zn: 0.755 0.755 0.755
As: 0.397 0.397 0.397
As: 0.603 0.603 0.603
H: 0.185 0.185 0.185
H: 0.815 0.815 0.815

# 4
CaHfAs2 | PBE-GGA | relaxed

Total moment in μB/atom: 0.00
D(E_F) in states/eV/f.u.: 2.68
Crystal system: cubic
Calculated volume in Å³/cell: 83.9
ΔE_f in kJ per mole of atoms: -59.30

Cell: 4.913 4.913 4.913 Å, 60.00 60.00 60.00°
Fractional coordinates of all 4 atoms:
Ca: 0.000 0.000 0.000
Hf: 0.500 0.500 0.500
As: 0.250 0.250 0.250
As: 0.750 0.750 0.750

# 5
CaHfAs3 | PBE-GGA | relaxed

Total moment in μB/atom: 0.00
D(E_F) in states/eV/f.u.: 2.87
Crystal system: cubic
Calculated volume in Å³/cell: 136.8
ΔE_f in kJ per mole of atoms: -40.21

Cell: 5.153 5.153 5.153 Å, 90.00 90.00 90.00°
Fractional coordinates of all 5 atoms:
Ca: 0.000 0.000 0.000
Hf: 0.500 0.500 0.500
As: 0.000 0.500 0.500
As: 0.500 0.000 0.500
As: 0.500 0.500 0.000

# 6
CaHfAs2 | PBE-GGA | relaxed

Total moment in μB/atom: 0.00
D(E_F) in states/eV/f.u.: 0.00
Crystal system: tetragonal
Calculated volume in Å³/cell: 224.4
ΔE_f in kJ per mole of atoms: -73.95

Cell: 6.697 6.697 6.697 Å, 115.53 115.53 97.93°
Fractional coordinates of all 8 atoms:
Ca: 0.000 0.000 0.000
Ca: 0.750 0.250 0.500
Hf: 0.250 0.750 0.500
Hf: 0.500 0.500 0.000
As: 0.162 0.625 0.037
As: 0.375 0.412 0.537
As: 0.588 0.125 0.963
As: 0.875 0.838 0.463

# 7
Ca5HfAs4 | PBE-GGA | relaxed

Total moment in μB/atom: 0.00
D(E_F) in states/eV/f.u.: 4.17
Crystal system: monoclinic
Calculated volume in Å³/cell: 294.3
ΔE_f in kJ per mole of atoms: -90.52

Cell: 9.136 9.136 8.134 Å, 101.58 101.58 26.30°
Fractional coordinates of all 10 atoms:
Ca: 0.000 0.000 0.000
Ca: 0.328 0.328 0.652
Ca: 0.339 0.339 0.179
Ca: 0.661 0.661 0.821
Ca: 0.672 0.672 0.348
Hf: 0.000 0.000 0.500
As: 0.158 0.158 0.581
As: 0.495 0.495 0.736
As: 0.505 0.505 0.264
As: 0.842 0.842 0.419

# 8
CaHf3As | PBE-GGA | relaxed

Total moment in μB/atom: 0.00
D(E_F) in states/eV/f.u.: 9.33
Crystal system: cubic
Calculated volume in Å³/cell: 127.2
ΔE_f in kJ per mole of atoms: 176.27

Cell: 5.030 5.030 5.030 Å, 90.00 90.00 90.00°
Fractional coordinates of all 5 atoms:
Ca: 0.000 0.000 0.000
Hf: 0.000 0.000 0.500
Hf: 0.000 0.500 0.000
Hf: 0.500 0.000 0.000
As: 0.500 0.500 0.500

- Among the records above, which one has the highest calculated volume?
  Ca5HfAs4

- Which formula does entry 8 have?
  CaHf3As

- calculated volume of number 4 (CaHfAs2)?
  83.9 Å³/cell

- What is the total moment in the seventh record?
  0.00 μB/atom